w:
First-principles (GGA-PBE) data for crystalline CaAc2Si2 at its relaxed geometry, as listed in the Alexandria database.

Properties
Density of states at the Fermi level ... 2.1 states/eV/f.u.
M_tot ... 0.00 μB per formula unit
SG ... P4/mbm (127)

Lattice parameters (Å, degrees): 7.978 7.978 4.717 90.00 90.00 90.00
Positions (direct):
Ca 0.000 0.000 0.000
Ca 0.500 0.500 0.000
Ac 0.179 0.321 0.500
Ac 0.321 0.821 0.500
Ac 0.679 0.179 0.500
Ac 0.821 0.679 0.500
Si 0.109 0.609 0.000
Si 0.391 0.109 0.000
Si 0.609 0.891 0.000
Si 0.891 0.391 0.000

---

x:
First-principles (GGA-PBE) data for crystalline CaAc2Si2 at its relaxed geometry, as listed in the Alexandria database.

Properties
Density of states at the Fermi level ... 3.6 states/eV/f.u.
M_tot ... 0.13 μB per formula unit
SG ... C2/m (12)

Lattice parameters (Å, degrees): 6.864 6.864 11.326 116.14 116.14 39.68
Positions (direct):
Ca 0.226 0.226 0.372
Ca 0.774 0.774 0.628
Ac 0.318 0.318 0.905
Ac 0.486 0.486 0.312
Ac 0.514 0.514 0.688
Ac 0.682 0.682 0.095
Si 0.006 0.006 0.896
Si 0.111 0.111 0.558
Si 0.889 0.889 0.442
Si 0.994 0.994 0.104

---

Best to worst by energy: w, x.